1.
Sr2TlHgPb | PBE | optimized geometry

## Properties
Crystal system: monoclinic
Energy of formation (meV per atom): -429
Size of the total moment (μB/cell): 0.00
Density of states at the Fermi level (states/eV/atom): 0.57

a = 5.0318 Å, b = 8.5490 Å, c = 8.2744 Å
α = 107.94°, β = 90.00°, γ = 90.00°
Element x y z (fractional)
Sr: 0.7500 0.6900 0.0362
Sr: 0.2500 0.1315 0.3770
Sr: 0.7500 0.8685 0.6230
Sr: 0.2500 0.3100 0.9638
Pb: 0.2500 0.6906 0.3225
Pb: 0.7500 0.3094 0.6775
Tl: 0.2500 0.5603 0.6686
Tl: 0.7500 0.4397 0.3314
Hg: 0.7500 0.0875 0.0745
Hg: 0.2500 0.9125 0.9255



2.
Na2TcIrO6 | PBE | optimized geometry

## Properties
Crystal system: tetragonal
Size of the total moment (μB/cell): 0.00
Density of states at the Fermi level (states/eV/atom): 0.31
ΔE_f (raw) (eV/f.u.): -12.2

a = 3.9174 Å, b = 5.4713 Å, c = 5.4713 Å
α = 90.00°, β = 90.00°, γ = 90.00°
Element x y z (fractional)
O: 0.6447 0.2464 0.7536
O: 0.1447 0.0000 0.0000
O: 0.1447 0.5000 0.5000
O: 0.6447 0.7536 0.2464
O: 0.6447 0.7536 0.7536
O: 0.6447 0.2464 0.2464
Tc: 0.6447 0.0000 0.0000
Na: 0.1447 0.5000 0.0000
Na: 0.1447 0.0000 0.5000
Ir: 0.6447 0.5000 0.5000



3.
LiAgPb | PBE | optimized geometry

## Properties
Crystal system: orthorhombic
Energy of formation (meV per atom): -36
Size of the total moment (μB/cell): 0.00
Offset from the most stable computed form (kJ/mol of atoms): 11.1
Density of states at the Fermi level (states/eV/atom): 0.34

a = 4.8794 Å, b = 3.2893 Å, c = 16.3868 Å
α = 90.00°, β = 90.00°, γ = 90.00°
Element x y z (fractional)
Pb: 0.2494 0.9889 0.6298
Pb: 0.7494 0.5111 0.3702
Pb: 0.2506 0.0111 0.1298
Pb: 0.7506 0.4889 0.8702
Ag: 0.7508 0.9961 0.0290
Ag: 0.7492 0.0039 0.5290
Ag: 0.2492 0.4961 0.4710
Ag: 0.2508 0.5039 0.9710
Li: 0.2497 0.5170 0.2839
Li: 0.7503 0.0170 0.2161
Li: 0.7497 0.9830 0.7161
Li: 0.2503 0.4830 0.7839



4.
CrOs4Ru | PBE | optimized geometry

## Properties
Crystal system: cubic
Energy of formation (meV per atom): 723
Size of the total moment (μB/cell): 1.32
Offset from the most stable computed form (kJ/mol of atoms): 52.3
Density of states at the Fermi level (states/eV/atom): 1.86

a = 5.0889 Å, b = 5.0889 Å, c = 5.0889 Å
α = 60.00°, β = 60.00°, γ = 60.00°
Last column: magnetic moment on the atom in μB.
Element x y z (fractional)
Os: 0.3752 0.8745 0.3752  -0.24
Os: 0.8745 0.3752 0.3752  -0.24
Os: 0.3752 0.3752 0.3752  -0.24
Os: 0.3752 0.3752 0.8745  -0.24
Cr: 0.0000 0.0000 0.0000  2.68
Ru: 0.7500 0.7500 0.7500  -0.53